Material: Tb2ErH8
Method: DFT, PBE
State: optimized geometry

Computed properties:
E_tot: -4.32 eV per atom
crystal system: orthorhombic

abc: 6.3072 6.3072 6.3072
angles: 146.37 132.29 59.64
Fractional positions:
Tb 0.1680 0.1680 0.0000
Tb 0.8320 0.8320 0.0000
Er 0.5000 0.5000 0.0000
H 0.0834 0.3409 0.7425
H 0.2363 0.0000 0.2363
H 0.3401 0.8401 0.5000
H 0.4016 0.6591 0.7425
H 0.5984 0.3409 0.2575
H 0.6599 0.1599 0.5000
H 0.7637 0.0000 0.7637
H 0.9166 0.6591 0.2575